The following is a DFT calculation (PBE) of Tb3PmGe3 after structural relaxation.

Cell lengths 5.7223, 8.9914, 8.9914 Å; angles 120.00, 90.00, 90.00 degrees
Last column: nearest neighbours and their distance in Å.
Fractional coordinates of all 14 atoms:
Ge  0.7500  0.6516  0.0076  4 Tb 2.79-3.03, 1 Pm 2.97
Ge  0.2500  0.3484  0.9924  4 Tb 2.79-3.03, 1 Pm 2.97
Ge  0.7500  0.9924  0.6440  4 Tb 2.79-3.03, 1 Pm 2.97
Ge  0.2500  0.6440  0.6516  4 Tb 2.79-3.03, 1 Pm 2.97
Ge  0.2500  0.0076  0.3560  4 Tb 2.79-3.03, 1 Pm 2.97
Ge  0.7500  0.3560  0.3484  4 Tb 2.79-3.03, 1 Pm 2.97
Pm  0.2500  0.6667  0.3333  3 Ge 2.97, 3 Tb 3.25
Pm  0.7500  0.3333  0.6667  3 Ge 2.97, 3 Tb 3.25
Tb  0.7500  0.7002  0.6776  4 Ge 2.79-3.03
Tb  0.7500  0.9774  0.2998  4 Ge 2.79-3.03
Tb  0.2500  0.6776  0.9774  4 Ge 2.79-3.03
Tb  0.7500  0.3224  0.0226  4 Ge 2.79-3.03
Tb  0.2500  0.2998  0.3224  4 Ge 2.79-3.03
Tb  0.2500  0.0226  0.7002  4 Ge 2.79-3.03

Values from the calculation:
Total magnetic moment ... 0.000 μB per cell
Symmetry ... No. 176
Raw total energy ... -73.147 eV per cell
Formation energy from the elements ... -583 meV/atom